Density functional theory data (GGA-PBE) for crystalline Tl4Sb3PbSe8 at its relaxed geometry.

Computed properties:
Its density of states at the Fermi level is 6.4 states/eV/cell. Its uncorrected formation energy is -362 meV per atom.

abc: 8.919 8.919 8.919
angles: 57.06 57.06 57.06
Element x y z (fractional)
Tl  0.000  0.000  0.000
Tl  0.000  0.500  0.500
Tl  0.500  0.000  0.500
Tl  0.500  0.500  0.000
Sb  0.000  0.000  0.500
Sb  0.000  0.500  0.000
Sb  0.500  0.000  0.000
Pb  0.500  0.500  0.500
Se  0.228  0.747  0.747
Se  0.238  0.238  0.238
Se  0.253  0.253  0.772
Se  0.253  0.772  0.253
Se  0.747  0.228  0.747
Se  0.747  0.747  0.228
Se  0.762  0.762  0.762
Se  0.772  0.253  0.253

---

Density functional theory data (GGA-PBE) for crystalline Pm8GeS6 at its relaxed geometry.

Computed properties:
Its density of states at the Fermi level is 11.3 states/eV/cell. Its uncorrected formation energy is -1536 meV per atom.

abc: 10.396 10.396 4.083
angles: 90.00 90.00 120.00
Element x y z (fractional)
Pm  0.033  0.329  0.255
Pm  0.296  0.967  0.255
Pm  0.329  0.296  0.745
Pm  0.333  0.667  0.748
Pm  0.667  0.333  0.252
Pm  0.671  0.704  0.255
Pm  0.704  0.033  0.745
Pm  0.967  0.671  0.745
Ge  0.000  0.000  0.500
S  0.135  0.652  0.249
S  0.348  0.482  0.249
S  0.482  0.135  0.751
S  0.518  0.865  0.249
S  0.652  0.518  0.751
S  0.865  0.348  0.751